[1]
Here is NbHgP2Cl after structural relaxation from Alexandria. Energies are from PBE.

The space group is P4/mmm (123). Its volume is 123.81 Å³ per cell. As for the formation energy without anion corrections: 1.2956 eV/atom. The energy relative to the lowest polymorph listed for this composition comes out at 1257 meV per atom.

Cell and atoms, written as extended XYZ:
```
5
Lattice="-0.089 -0.949 4.773 4.800 -0.808 -0.071 0.865 5.051 1.021" Properties=species:S:1:pos:R:3 pbc="T T T"
Cl 0.433 2.526 0.510
P 2.400 -0.404 -0.035
P -0.045 -0.475 2.387
Hg 0.000 0.000 0.000
Nb 2.788 1.647 2.862
```

***

[2]
Here is NbHgP2Cl after structural relaxation from Alexandria. Energies are from PBE.

The space group is P4/mmm (123). Its volume is 118.43 Å³ per cell. As for the formation energy without anion corrections: 0.0387 eV/atom. The energy relative to the lowest polymorph listed for this composition comes out at 0 meV per atom.

Cell and atoms, written as extended XYZ:
```
5
Lattice="-1.995 -0.281 -4.446 -2.480 -3.977 1.364 -3.769 2.868 1.510" Properties=species:S:1:pos:R:3 pbc="T T T"
Nb 0.000 0.000 0.000
Hg -4.122 -0.695 -0.786
P -1.240 -1.988 0.682
P -0.997 -0.141 -2.223
Cl -1.885 1.434 0.755
```

***

[3]
Here is Rb2NbHgCl6 after structural relaxation from Alexandria. Energies are from PBE.

The space group is R-3m (166). Its volume is 859.48 Å³ per cell. As for the formation energy without anion corrections: -1.4142 eV/atom.

Cell and atoms, written as extended XYZ:
```
20
Lattice="7.183 0.000 0.000 3.591 6.220 0.000 3.591 2.073 19.237" Properties=species:S:1:pos:R:3 pbc="T T T"
Nb 7.183 4.147 9.618
Nb 0.000 0.000 0.000
Cl 7.183 2.158 11.035
Cl 9.051 5.226 1.414
Cl 9.051 3.068 17.823
Cl 7.183 6.136 8.201
Cl 5.460 3.152 8.201
Cl 8.905 5.141 11.035
Cl 8.905 3.152 8.201
Cl 5.314 3.068 17.823
Cl 7.183 6.304 17.823
Cl 5.460 5.141 11.035
Cl 7.183 1.989 1.414
Cl 5.314 5.226 1.414
Rb 3.591 2.073 10.911
Rb 10.774 6.220 17.942
Rb 3.591 2.073 1.294
Rb 10.774 6.220 8.326
Hg 7.183 4.147 14.459
Hg 7.183 4.147 4.778
```

***

[4]
Here is NbTlHgCl6 after structural relaxation from Alexandria. Energies are from PBE.

The space group is P312 (149). Its volume is 314.29 Å³ per cell. As for the formation energy without anion corrections: -1.0312 eV/atom.

Cell and atoms, written as extended XYZ:
```
9
Lattice="-3.735 5.960 -3.113 -7.600 0.701 0.957 0.944 3.261 5.109" Properties=species:S:1:pos:R:3 pbc="T T T"
Cl -4.010 6.118 2.164
Cl -4.122 3.258 4.010
Cl -1.153 4.361 2.758
Cl -5.460 3.262 0.964
Cl -2.568 4.489 -0.354
Cl -2.523 1.614 1.472
Hg -7.084 6.071 1.117
Tl -2.791 9.221 1.996
Nb -3.306 3.851 1.836
```

***

[5]
Here is NbVHg2Cl after structural relaxation from Alexandria. Energies are from PBE.

The space group is P4/mmm (123). Its volume is 124.24 Å³ per cell. As for the formation energy without anion corrections: 1.3862 eV/atom.

Cell and atoms, written as extended XYZ:
```
5
Lattice="5.252 0.000 0.000 0.000 4.504 0.000 0.000 0.000 5.252" Properties=species:S:1:pos:R:3 pbc="T T T"
Nb 0.000 2.252 0.000
V 2.626 2.252 2.626
Cl 0.000 0.000 0.000
Hg 0.000 0.000 2.626
Hg 2.626 0.000 0.000
```

***

[6]
Here is Nd3HgCl3 after structural relaxation from Alexandria. Energies are from PBE.

The space group is C2/m (12). Its volume is 398.48 Å³ per cell. As for the formation energy without anion corrections: -1.3620 eV/atom.

Cell and atoms, written as extended XYZ:
```
14
Lattice="-1.157 2.932 2.270 4.018 -1.528 7.344 8.987 8.279 -2.789" Properties=species:S:1:pos:R:3 pbc="T T T"
Cl 7.056 2.776 6.656
Cl 7.743 7.124 -1.930
Cl 4.105 2.559 8.756
Cl 10.727 9.053 3.744
Cl 1.121 0.630 3.081
Cl 4.792 6.906 0.170
Nd 6.054 5.462 6.000
Nd 9.332 7.179 5.453
Nd 2.516 2.503 1.372
Nd 8.073 8.974 2.496
Nd 3.775 0.709 4.330
Nd 5.794 4.221 0.826
Hg 4.138 3.858 3.770
Hg 7.710 5.824 3.055
```

***

[7]
Here is NdHgCl2 after structural relaxation from Alexandria. Energies are from PBE.

The space group is R-3m (166). Its volume is 148.40 Å³ per cell. As for the formation energy without anion corrections: -1.4436 eV/atom.

Cell and atoms, written as extended XYZ:
```
4
Lattice="-2.639 0.508 -2.778 -3.326 -1.966 0.111 -6.779 7.962 5.209" Properties=species:S:1:pos:R:3 pbc="T T T"
Hg 0.000 0.000 0.000
Cl -5.118 5.033 3.095
Cl -7.627 1.471 -0.553
Nd -6.373 3.252 1.271
```

***

[8]
Here is NdHgCl3 after structural relaxation from Alexandria. Energies are from PBE.

The space group is Pm-3m (221). Its volume is 168.56 Å³ per cell. As for the formation energy without anion corrections: -1.7225 eV/atom.

Cell and atoms, written as extended XYZ:
```
5
Lattice="-4.741 -2.796 -0.467 1.159 -2.743 4.652 -2.587 3.895 2.941" Properties=species:S:1:pos:R:3 pbc="T T T"
Cl 0.580 -1.372 2.326
Cl -2.370 -1.398 -0.234
Cl -1.294 1.947 1.471
Hg -3.084 -0.823 3.563
Nd 0.000 0.000 0.000
```

***

Calculated total magnetic moment in order - 1.973 0.000 1.001 0.000 0.060 0.558 0.055 0.000 μB/f.u.